[1]
The following is a PBE calculation of crystalline Cs2LaSiF6 at its relaxed geometry, from Alexandria via LeMat-Bulk.

Geometry as extended XYZ:
```
10
Lattice="6.338 0.000 0.000 0.000 6.338 0.000 3.169 3.169 6.096" Properties=species:S:1:pos:R:3 pbc="T T T"
Cs 6.338 3.169 3.048
Cs 3.169 6.338 3.048
Si 3.169 3.169 0.000
F 3.169 3.169 3.794
F 6.338 6.338 2.302
F 1.649 1.649 0.000
F 4.689 4.689 0.000
F 4.689 1.649 0.000
F 1.649 4.689 0.000
La 0.000 0.000 0.000
```

Output
- DOS(E_F) (states/eV per atom) = 0.00
- E_form (uncorrected) (eV per atom) = -2.820
- uncorrected energy (eV for the cell shown) = -51.48
- symmetry = I4/mmm (139)


[2]
The following is a PBE calculation of crystalline CsLaSnF2 at its relaxed geometry, from Alexandria via LeMat-Bulk.

Geometry as extended XYZ:
```
5
Lattice="-4.305 1.822 -0.762 -2.302 -6.327 -2.121 -1.230 -1.045 4.453" Properties=species:S:1:pos:R:3 pbc="T T T"
Cs -1.151 -3.164 -1.060
F -0.615 -0.522 2.226
F -2.152 0.911 -0.381
Sn 0.000 0.000 0.000
La -3.919 -2.775 0.785
```

Output
- DOS(E_F) (states/eV per atom) = 1.17
- E_form (uncorrected) (eV per atom) = -0.578
- uncorrected energy (eV for the cell shown) = -16.42
- symmetry = P4/mmm (123)


[3]
The following is a PBE calculation of crystalline Cs2LaTaF6 at its relaxed geometry, from Alexandria via LeMat-Bulk.

Geometry as extended XYZ:
```
10
Lattice="6.742 0.000 0.000 0.000 6.742 0.000 3.371 3.371 4.766" Properties=species:S:1:pos:R:3 pbc="T T T"
Cs 6.742 3.371 2.383
Cs 3.371 6.742 2.383
F 3.371 3.371 2.351
F 6.742 6.742 2.414
F 1.708 1.708 0.000
F 5.033 5.033 0.000
F 5.033 1.708 0.000
F 1.708 5.033 0.000
La 3.371 3.371 0.000
Ta 0.000 0.000 0.000
```

Output
- DOS(E_F) (states/eV per atom) = 0.66
- E_form (uncorrected) (eV per atom) = -2.534
- uncorrected energy (eV for the cell shown) = -55.06
- symmetry = Fm-3m (225)


[4]
The following is a PBE calculation of crystalline Cs2LaTiF6 at its relaxed geometry, from Alexandria via LeMat-Bulk.

Geometry as extended XYZ:
```
10
Lattice="6.558 0.000 0.000 0.000 6.558 0.000 3.279 3.279 4.638" Properties=species:S:1:pos:R:3 pbc="T T T"
Cs 6.558 3.279 2.319
Cs 3.279 6.558 2.319
F 3.279 3.279 2.250
F 6.558 6.558 2.388
F 1.689 1.689 0.000
F 4.870 4.870 0.000
F 4.870 1.689 0.000
F 1.689 4.870 0.000
Ti 3.279 3.279 0.000
La 0.000 0.000 0.000
```

Output
- DOS(E_F) (states/eV per atom) = 1.08
- E_form (uncorrected) (eV per atom) = -2.935
- uncorrected energy (eV for the cell shown) = -55.11
- symmetry = Fm-3m (225)